The following is a DFT calculation (GGA-PBE) of a relaxed structure of NdTm2Bi.

Cell lengths 4.0139, 4.0139, 7.4904 Å; angles 90.00, 90.00, 90.00 degrees
Closest atoms and distances in Å follow each position.
Space group P4/mmm (No. 123)
Inequivalent atoms, fractional coordinates:
Nd 0.0000 0.0000 0.0000 [1 per cell]  8 Tm 3.51, 2 Bi 3.75
Tm 0.5000 0.5000 0.2752 [2 per cell]  4 Bi 3.30, 1 Tm 3.37, 4 Nd 3.51
Bi 0.0000 0.0000 0.5000 [1 per cell]  8 Tm 3.30

Output
Energy above the lowest structure with this stoichiometry   0.0653 eV/atom
Calculated formation energy   -0.32 eV per atom
Electronic total energy   -4.716 eV per atom
D(E_F)   4.03 states/eV/f.u.
Mass density   9.51 Mg/m³

=====

The following is a DFT calculation (GGA-PBE) of a relaxed structure of NdTm2Bi4.

Cell lengths 4.5244, 11.4429, 16.9807 Å; angles 90.00, 90.00, 90.00 degrees
Closest atoms and distances in Å follow each position.
Space group Cmcm (No. 63)
Inequivalent atoms, fractional coordinates:
Nd 0.0000 0.0590 0.2500 [4 per cell]  7 Bi 3.29-3.36
Tm 0.0000 0.3425 0.0742 [8 per cell]  6 Bi 2.99-3.27
Bi 0.0000 0.0000 0.0000 [4 per cell]  4 Tm 3.16, 4 Bi 3.51
Bi 0.0000 0.3449 0.6184 [8 per cell]  3 Tm 3.21-3.27, 2 Nd 3.36, 2 Bi 3.51
Bi 0.0000 0.3498 0.2500 [4 per cell]  2 Tm 2.99, 3 Nd 3.29-3.33

Output
Calculated formation energy   -0.59 eV per atom
Electronic total energy   -4.769 eV per atom
D(E_F)   3.01 states/eV/f.u.
Mass density   9.96 Mg/m³

=====

The following is a DFT calculation (GGA-PBE) of a relaxed structure of Nd3TmBi3.

Cell lengths 9.7037, 9.7037, 6.3964 Å; angles 90.00, 90.00, 120.00 degrees
Closest atoms and distances in Å follow each position.
Space group P6_3/m (No. 176)
Inequivalent atoms, fractional coordinates:
Nd 0.0764 0.6829 0.2500 [6 per cell]  5 Bi 3.17-3.43
Tm 0.3333 0.6667 0.7500 [2 per cell]  3 Bi 3.00
Bi 0.0498 0.7135 0.7500 [6 per cell]  1 Tm 3.00, 3 Nd 3.17-3.23

Output
Calculated formation energy   -0.58 eV per atom
Electronic total energy   -4.926 eV per atom
D(E_F)   4.97 states/eV/f.u.
Mass density   7.82 Mg/m³

=====

Among the records above, which one has the lowest electronic total energy? Nd3TmBi3